#P
SrAcPrCd | GGA-PBE | optimized geometry

Calculated values
calculated volume	37.3	Å³/atom
symmetry	F-43m, No. 216

Cell: 5.9521 5.9521 5.9521 Å, 60.00 60.00 60.00°
Closest atoms and distances in Å follow each position.
Fractional coordinates of all 4 atoms:
Pr 0.5000 0.5000 0.5000  4 Ac 3.64, 4 Cd 3.64
Sr 0.0000 0.0000 0.0000  4 Cd 3.64, 4 Ac 3.64
Ac 0.2500 0.2500 0.2500  4 Sr 3.64, 4 Pr 3.64
Cd 0.7500 0.7500 0.7500  4 Pr 3.64, 4 Sr 3.64

=====

#Q
SrAcPrCd | GGA-PBE | optimized geometry

Calculated values
calculated volume	38.1	Å³/atom
symmetry	P4mm, No. 99

Cell: 3.9151 3.9151 9.9539 Å, 90.00 90.00 90.00°
Closest atoms and distances in Å follow each position.
Fractional coordinates of all 4 atoms:
Sr 0.5000 0.5000 0.7719  4 Cd 3.52, 4 Sr 3.92
Ac 0.0000 0.0000 0.0978  4 Pr 3.82, 4 Ac 3.92, 4 Sr 4.26
Pr 0.5000 0.5000 0.3622  4 Cd 3.36
Cd 0.0000 0.0000 0.5528  4 Pr 3.36, 4 Sr 3.52

=====

Of them, the most stable is #Q and the least stable is #P.

=====

#P
AcTbPrCd | GGA-PBE | optimized geometry

Calculated values
calculated volume	33.2	Å³/atom
symmetry	P4mm, No. 99

Cell: 3.8304 3.8304 9.0509 Å, 90.00 90.00 90.00°
Closest atoms and distances in Å follow each position.
Fractional coordinates of all 4 atoms:
Ac 0.0000 0.0000 0.0791  4 Tb 3.73, 4 Pr 3.81, 4 Ac 3.83
Tb 0.5000 0.5000 0.3630  4 Cd 3.24
Pr 0.5000 0.5000 0.7834  4 Cd 3.38
Cd 0.0000 0.0000 0.5592  4 Tb 3.24, 4 Pr 3.38

=====

#Q
AcTbPrCd | GGA-PBE | optimized geometry

Calculated values
calculated volume	32.8	Å³/atom
symmetry	F-43m, No. 216

Cell: 5.7034 5.7034 5.7034 Å, 60.00 60.00 60.00°
Closest atoms and distances in Å follow each position.
Fractional coordinates of all 4 atoms:
Pr 0.0000 0.0000 0.0000  4 Cd 3.49, 4 Ac 3.49
Ac 0.2500 0.2500 0.2500  4 Tb 3.49, 4 Pr 3.49
Tb 0.5000 0.5000 0.5000  4 Ac 3.49, 4 Cd 3.49
Cd 0.7500 0.7500 0.7500  4 Tb 3.49, 4 Pr 3.49

=====

Of them, the most stable is #P and the least stable is #Q.

=====

#P
AcPrTmCd | GGA-PBE | optimized geometry

Calculated values
calculated volume	32.7	Å³/atom
symmetry	P4mm, No. 99

Cell: 3.8002 3.8002 9.0706 Å, 90.00 90.00 90.00°
Closest atoms and distances in Å follow each position.
Fractional coordinates of all 4 atoms:
Ac 0.0000 0.0000 0.0827  4 Tm 3.71, 4 Ac 3.80, 4 Pr 3.82
Pr 0.5000 0.5000 0.7828  4 Cd 3.40, 1 Tm 3.79, 4 Pr 3.80
Tm 0.5000 0.5000 0.3653  4 Cd 3.19
Cd 0.0000 0.0000 0.5540  4 Tm 3.19, 4 Pr 3.40

=====

#Q
AcPrTmCd | GGA-PBE | optimized geometry

Calculated values
calculated volume	32.3	Å³/atom
symmetry	F-43m, No. 216

Cell: 5.6758 5.6758 5.6758 Å, 60.00 60.00 60.00°
Closest atoms and distances in Å follow each position.
Fractional coordinates of all 4 atoms:
Pr 0.2500 0.2500 0.2500  4 Cd 3.48, 4 Ac 3.48
Ac 0.0000 0.0000 0.0000  4 Tm 3.48, 4 Pr 3.48
Tm 0.7500 0.7500 0.7500  4 Cd 3.48, 4 Ac 3.48
Cd 0.5000 0.5000 0.5000  4 Pr 3.48, 4 Tm 3.48

=====

Of them, the most stable is #P and the least stable is #Q.

=====

#P
AcPrZnCd | GGA-PBE | optimized geometry

Calculated values
calculated volume	29.5	Å³/atom
symmetry	P4mm, No. 99

Cell: 3.8754 3.8754 7.8610 Å, 90.00 90.00 90.00°
Closest atoms and distances in Å follow each position.
Fractional coordinates of all 4 atoms:
Ac 0.5000 0.5000 0.1238  4 Zn 3.39, 4 Cd 3.55, 1 Pr 3.65
Pr 0.5000 0.5000 0.5884  4 Zn 3.20, 4 Cd 3.37
Zn 0.0000 0.0000 0.3783  4 Pr 3.20, 4 Ac 3.39
Cd 0.0000 0.0000 0.8376  4 Pr 3.37, 4 Ac 3.55, 1 Zn 3.61

=====

#Q
AcPrZnCd | GGA-PBE | optimized geometry

Calculated values
calculated volume	29.8	Å³/atom
symmetry	F-43m, No. 216

Cell: 5.5221 5.5221 5.5221 Å, 60.00 60.00 60.00°
Closest atoms and distances in Å follow each position.
Fractional coordinates of all 4 atoms:
Pr 0.0000 0.0000 0.0000  4 Zn 3.38, 4 Cd 3.38
Ac 0.5000 0.5000 0.5000  4 Cd 3.38, 4 Zn 3.38
Zn 0.2500 0.2500 0.2500  4 Ac 3.38, 4 Pr 3.38
Cd 0.7500 0.7500 0.7500  4 Ac 3.38, 4 Pr 3.38

=====

Of them, the most stable is #P and the least stable is #Q.

=====

#P
Ac7Cd2Pt2 | GGA-PBE | optimized geometry

Calculated values
calculated volume	37.7	Å³/atom
symmetry	Cmmm, No. 65

Cell: 7.5150 7.7654 7.5150 Å, 90.00 108.97 90.00°
Closest atoms and distances in Å follow each position.
Fractional coordinates of all 11 atoms:
Ac 0.9998 0.2559 0.5003  2 Pt 3.00
Ac 0.5003 0.7441 0.9998  2 Pt 3.00
Ac 0.0002 0.7441 0.4997  2 Pt 3.00
Ac 0.4997 0.2559 0.0002  2 Pt 3.00
Ac 0.0000 0.0000 0.0000  2 Pt 3.58
Ac 0.5002 0.7523 0.4998  2 Pt 3.18-3.19, 2 Cd 3.52
Ac 0.4998 0.2477 0.5002  2 Pt 3.18-3.19, 2 Cd 3.52
Cd 0.8347 0.5000 0.8347  1 Cd 2.89
Cd 0.1653 0.5000 0.1653  1 Cd 2.89
Pt 0.7077 0.0000 0.2923  6 Ac 3.00-3.19
Pt 0.2923 0.0000 0.7077  6 Ac 3.00-3.19

=====

#Q
Ac7Cd2Pt2 | GGA-PBE | optimized geometry

Calculated values
calculated volume	36.0	Å³/atom
symmetry	Imm2, No. 44

Cell: 4.1130 10.5011 10.5011 Å, 63.96 78.71 78.71°
Closest atoms and distances in Å follow each position.
Fractional coordinates of all 11 atoms:
Ac 0.8127 0.0893 0.2854  2 Pt 3.13
Ac 0.8583 0.3898 0.8936  2 Pt 3.11, 2 Cd 3.44
Ac 0.5000 0.0211 0.9789  3 Cd 3.48-3.78
Ac 0.6288 0.4734 0.2690  2 Pt 3.11
Ac 0.3712 0.7310 0.5266  2 Pt 3.11
Ac 0.1873 0.7146 0.9107  2 Pt 3.13
Ac 0.1417 0.1064 0.6102  2 Pt 3.11, 2 Cd 3.44
Cd 0.0000 0.7689 0.2311  8 Ac 3.48-3.57
Cd 0.5000 0.3606 0.6394  7 Ac 3.44-3.78
Pt 0.7366 0.8628 0.6641  6 Ac 3.11-3.13
Pt 0.2634 0.3359 0.1372  6 Ac 3.11-3.13

=====

Of them, the most stable is #Q and the least stable is #P.

=====

#P
Ac4Cd2Pt | GGA-PBE | optimized geometry

Calculated values
calculated volume	40.1	Å³/atom
symmetry	I4/mmm, No. 139

Cell: 5.8452 5.8452 9.1937 Å, 108.54 108.54 90.00°
Closest atoms and distances in Å follow each position.
Fractional coordinates of all 7 atoms:
Ac 0.8138 0.8138 0.6277  1 Pt 3.06, 1 Cd 3.27
Ac 0.1862 0.1862 0.3723  1 Pt 3.06, 1 Cd 3.27
Ac 0.0000 0.5000 0.0000  2 Pt 2.92
Ac 0.5000 0.0000 0.0000  2 Pt 2.92
Pt 0.0000 0.0000 0.0000  6 Ac 2.92-3.06
Cd 0.6149 0.6149 0.2299  5 Ac 3.27-3.48
Cd 0.3851 0.3851 0.7701  5 Ac 3.27-3.48

=====

#Q
Ac4Cd2Pt | GGA-PBE | optimized geometry

Calculated values
calculated volume	37.1	Å³/atom
symmetry	C2/m, No. 12

Cell: 4.1918 7.2436 9.6257 Å, 113.80 102.58 90.00°
Closest atoms and distances in Å follow each position.
Fractional coordinates of all 7 atoms:
Ac 0.9088 0.2498 0.8175  1 Pt 2.96
Ac 0.0912 0.7502 0.1825  1 Pt 2.96
Ac 0.6174 0.2738 0.2347  2 Pt 3.09
Ac 0.3826 0.7262 0.7653  2 Pt 3.09
Cd 0.7432 0.8100 0.4864  2 Cd 3.38, 6 Ac 3.41-3.62
Cd 0.2568 0.1900 0.5136  2 Cd 3.38, 6 Ac 3.41-3.62
Pt 0.0000 0.0000 0.0000  6 Ac 2.96-3.09

=====

Of them, the most stable is #Q and the least stable is #P.

=====

#P
Ac3CdPt | GGA-PBE | optimized geometry

Calculated values
calculated volume	36.3	Å³/atom
symmetry	C2/m, No. 12

Cell: 6.0624 7.2898 9.8999 Å, 67.87 72.17 65.43°
Closest atoms and distances in Å follow each position.
Fractional coordinates of all 10 atoms:
Ac 0.8878 0.9884 0.2361  2 Pt 2.99-3.06
Ac 0.1122 0.0116 0.7639  2 Pt 2.99-3.06
Ac 0.6215 0.6609 0.0961  3 Pt 3.02-3.04
Ac 0.3785 0.3391 0.9039  3 Pt 3.02-3.04
Ac 0.8415 0.6738 0.6432  1 Pt 3.04
Ac 0.1585 0.3262 0.3568  1 Pt 3.04
Cd 0.3967 0.7472 0.4594  1 Cd 3.14, 2 Ac 3.46
Cd 0.6033 0.2528 0.5406  1 Cd 3.14, 2 Ac 3.46
Pt 0.1315 0.6728 0.0642  6 Ac 2.99-3.06
Pt 0.8685 0.3272 0.9358  6 Ac 2.99-3.06

=====

#Q
Ac3CdPt | GGA-PBE | optimized geometry

Calculated values
calculated volume	41.2	Å³/atom
symmetry	Pm-3m, No. 221

Cell: 5.9070 5.9070 5.9070 Å, 90.00 90.00 90.00°
Closest atoms and distances in Å follow each position.
Fractional coordinates of all 5 atoms:
Ac 0.0000 0.5000 0.0000  2 Pt 2.95
Ac 0.0000 0.0000 0.5000  2 Pt 2.95
Ac 0.5000 0.0000 0.0000  2 Pt 2.95
Pt 0.0000 0.0000 0.0000  6 Ac 2.95
Cd 0.5000 0.5000 0.5000  12 Ac 4.18

=====

#R
Ac3CdPt | GGA-PBE | optimized geometry

Calculated values
calculated volume	37.1	Å³/atom
symmetry	P2_1/c, No. 14

Cell: 7.4295 10.1278 11.3856 Å, 119.94 90.00 90.00°
Closest atoms and distances in Å follow each position.
Fractional coordinates of all 20 atoms:
Ac 0.0691 0.7350 0.6361  3 Pt 3.02-3.04
Ac 0.9309 0.2650 0.3639  3 Pt 3.02-3.04
Ac 0.5691 0.7650 0.8639  3 Pt 3.02-3.04
Ac 0.4309 0.2350 0.1361  3 Pt 3.02-3.04
Ac 0.5826 0.6541 0.4416  2 Pt 3.00-3.06
Ac 0.4174 0.3459 0.5584  2 Pt 3.00-3.06
Ac 0.0826 0.8459 0.0584  2 Pt 3.00-3.06
Ac 0.9174 0.1541 0.9416  2 Pt 3.00-3.06
Ac 0.0785 0.6097 0.2337  1 Pt 3.03
Ac 0.9215 0.3903 0.7663  1 Pt 3.03
Ac 0.5785 0.8903 0.2663  1 Pt 3.03
Ac 0.4215 0.1097 0.7337  1 Pt 3.03
Cd 0.8302 0.0008 0.5652  1 Cd 2.92
Cd 0.1698 0.9992 0.4348  1 Cd 2.92
Cd 0.3302 0.4992 0.9348  1 Cd 2.92
Cd 0.6698 0.5008 0.0652  1 Cd 2.92
Pt 0.2439 0.4713 0.3908  6 Ac 3.00-3.06
Pt 0.7561 0.5287 0.6092  6 Ac 3.00-3.06
Pt 0.7439 0.0287 0.1092  6 Ac 3.00-3.06
Pt 0.2561 0.9713 0.8908  6 Ac 3.00-3.06

=====

Of them, the most stable is #P and the least stable is #Q.

=====

#P
AcPuCd2 | GGA-PBE | optimized geometry

Calculated values
calculated volume	30.7	Å³/atom
symmetry	Fm-3m, No. 225

Cell: 5.5811 5.5811 5.5811 Å, 60.00 60.00 60.00°
Closest atoms and distances in Å follow each position.
Fractional coordinates of all 4 atoms:
Ac 0.0000 0.0000 0.0000  8 Cd 3.42
Cd 0.2500 0.2500 0.2500  4 Ac 3.42, 4 Pu 3.42
Cd 0.7500 0.7500 0.7500  4 Ac 3.42, 4 Pu 3.42
Pu 0.5000 0.5000 0.5000  8 Cd 3.42

=====

#Q
AcPuCd2 | GGA-PBE | optimized geometry

Calculated values
calculated volume	30.5	Å³/atom
symmetry	P4/mmm, No. 123

Cell: 3.9539 3.9539 7.7921 Å, 90.00 90.00 90.00°
Closest atoms and distances in Å follow each position.
Fractional coordinates of all 4 atoms:
Ac 0.5000 0.5000 0.5000  8 Cd 3.51, 2 Pu 3.90
Cd 0.0000 0.0000 0.7733  4 Pu 3.31, 4 Ac 3.51, 1 Cd 3.53
Cd 0.0000 0.0000 0.2267  4 Pu 3.31, 4 Ac 3.51, 1 Cd 3.53
Pu 0.5000 0.5000 0.0000  8 Cd 3.31

=====

Of them, the most stable is #Q and the least stable is #P.

=====

#P
Ac2PuCd | GGA-PBE | optimized geometry

Calculated values
calculated volume	35.6	Å³/atom
symmetry	P4/mmm, No. 123

Cell: 3.9191 3.9191 9.2639 Å, 90.00 90.00 90.00°
Closest atoms and distances in Å follow each position.
Fractional coordinates of all 4 atoms:
Ac 0.0000 0.0000 0.7689  4 Cd 3.50, 4 Pu 3.73, 4 Ac 3.92
Ac 0.0000 0.0000 0.2311  4 Cd 3.50, 4 Pu 3.73, 4 Ac 3.92
Cd 0.5000 0.5000 0.0000  8 Ac 3.50, 4 Cd 3.92
Pu 0.5000 0.5000 0.5000  8 Ac 3.73, 4 Pu 3.92

=====

#Q
Ac2PuCd | GGA-PBE | optimized geometry

Calculated values
calculated volume	37.2	Å³/atom
symmetry	R-3m, No. 166

Cell: 3.7013 3.7013 12.7292 Å, 81.64 81.64 60.00°
Closest atoms and distances in Å follow each position.
Fractional coordinates of all 4 atoms:
Ac 0.0933 0.0933 0.7202  3 Cd 3.49, 1 Pu 3.51, 6 Ac 3.70
Ac 0.9067 0.9067 0.2798  3 Cd 3.49, 1 Pu 3.51, 6 Ac 3.70
Cd 0.5000 0.5000 0.5000  6 Ac 3.49, 6 Cd 3.70
Pu 0.0000 0.0000 0.0000  2 Ac 3.51, 6 Pu 3.70

=====

#R
Ac2PuCd | GGA-PBE | optimized geometry

Calculated values
calculated volume	34.7	Å³/atom
symmetry	Fm-3m, No. 225

Cell: 5.8140 5.8140 5.8140 Å, 60.00 60.00 60.00°
Closest atoms and distances in Å follow each position.
Fractional coordinates of all 4 atoms:
Ac 0.2500 0.2500 0.2500  4 Cd 3.56, 4 Pu 3.56
Ac 0.7500 0.7500 0.7500  4 Cd 3.56, 4 Pu 3.56
Cd 0.0000 0.0000 0.0000  8 Ac 3.56
Pu 0.5000 0.5000 0.5000  8 Ac 3.56

=====

Of them, the most stable is #P and the least stable is #Q.

=====

#P
AcCdRh2 | GGA-PBE | optimized geometry

Calculated values
calculated volume	23.6	Å³/atom
symmetry	R-3m, No. 166

Cell: 4.7489 4.7489 5.5508 Å, 64.67 64.67 60.00°
Closest atoms and distances in Å follow each position.
Fractional coordinates of all 4 atoms:
Ac 0.0000 0.0000 0.0000  2 Rh 2.78
Cd 0.5000 0.5000 0.5000  6 Rh 2.77
Rh 0.1919 0.1919 0.4244  3 Cd 2.77, 1 Ac 2.78, 3 Rh 2.84
Rh 0.8081 0.8081 0.5756  3 Cd 2.77, 1 Ac 2.78, 3 Rh 2.84

=====

#Q
AcCdRh2 | GGA-PBE | optimized geometry

Calculated values
calculated volume	21.0	Å³/atom
symmetry	P4/mmm, No. 123

Cell: 3.5616 3.5616 6.6149 Å, 90.00 90.00 90.00°
Closest atoms and distances in Å follow each position.
Fractional coordinates of all 4 atoms:
Ac 0.5000 0.5000 0.5000  8 Rh 3.12, 2 Cd 3.31
Rh 0.0000 0.0000 0.7776  4 Cd 2.92, 1 Rh 2.94, 4 Ac 3.12
Rh 0.0000 0.0000 0.2224  4 Cd 2.92, 1 Rh 2.94, 4 Ac 3.12
Cd 0.5000 0.5000 0.0000  8 Rh 2.92

=====

Of them, the most stable is #P and the least stable is #Q.

=====

#P
AcCdRh2 | GGA-PBE | optimized geometry

Calculated values
calculated volume	27.0	Å³/atom
symmetry	Pmma, No. 51

Cell: 4.9652 5.5834 15.6100 Å, 90.00 90.00 90.00°
Closest atoms and distances in Å follow each position.
Fractional coordinates of all 16 atoms:
Ac 0.0000 0.2500 0.5850  4 Rh 3.14
Ac 0.5000 0.7500 0.0967  8 Rh 3.05-3.22
Ac 0.0000 0.7500 0.4150  4 Rh 3.14
Ac 0.5000 0.2500 0.9033  8 Rh 3.05-3.22
Cd 0.5000 0.7500 0.6515  2 Rh 2.75, 2 Cd 2.79
Cd 0.5000 0.2500 0.3485  2 Rh 2.75, 2 Cd 2.79
Cd 0.0000 0.2500 0.2665  2 Rh 2.67, 2 Cd 2.79
Cd 0.0000 0.7500 0.7335  2 Rh 2.67, 2 Cd 2.79
Rh 0.0000 0.0000 0.0000  6 Rh 2.63-2.79
Rh 0.5000 0.5000 0.5000  2 Cd 2.75, 2 Rh 2.79
Rh 0.2590 0.7500 0.8833  4 Rh 2.39-2.63, 1 Cd 2.67
Rh 0.7410 0.2500 0.1167  4 Rh 2.39-2.63, 1 Cd 2.67
Rh 0.7410 0.7500 0.8833  4 Rh 2.39-2.63, 1 Cd 2.67
Rh 0.2590 0.2500 0.1167  4 Rh 2.39-2.63, 1 Cd 2.67
Rh 0.0000 0.5000 0.0000  6 Rh 2.63-2.79
Rh 0.5000 0.0000 0.5000  2 Cd 2.75, 2 Rh 2.79

=====

#Q
AcCdRh2 | GGA-PBE | optimized geometry

Calculated values
calculated volume	20.6	Å³/atom
symmetry	P4/mmm, No. 123

Cell: 3.8162 4.6459 4.6459 Å, 90.00 90.00 90.00°
Closest atoms and distances in Å follow each position.
Fractional coordinates of all 4 atoms:
Ac 0.5000 0.5000 0.5000  8 Rh 3.01, 4 Cd 3.29
Rh 0.0000 0.0000 0.5000  4 Cd 3.01, 4 Ac 3.01, 4 Rh 3.29
Rh 0.0000 0.5000 0.0000  4 Cd 3.01, 4 Ac 3.01, 4 Rh 3.29
Cd 0.5000 0.0000 0.0000  8 Rh 3.01, 4 Ac 3.29

=====

Of them, the most stable is #Q and the least stable is #P.

=====

#P
AcCd4Rh2 | GGA-PBE | optimized geometry

Calculated values
calculated volume	22.5	Å³/atom
symmetry	Cmmm, No. 65

Cell: 4.3340 4.3437 8.6580 Å, 104.53 90.00 90.00°
Closest atoms and distances in Å follow each position.
Fractional coordinates of all 7 atoms:
Ac 0.0000 0.0000 0.0000  8 Rh 3.31, 4 Cd 3.71
Cd 0.5000 0.8194 0.6389  2 Rh 2.80, 4 Cd 3.07
Cd 0.0000 0.6792 0.3584  2 Rh 2.79, 4 Cd 3.07
Cd 0.5000 0.1806 0.3611  2 Rh 2.80, 4 Cd 3.07
Cd 0.0000 0.3208 0.6416  2 Rh 2.79, 4 Cd 3.07
Rh 0.5000 0.5747 0.1494  1 Rh 2.50, 4 Cd 2.79-2.80
Rh 0.5000 0.4253 0.8506  1 Rh 2.50, 4 Cd 2.79-2.80

=====

#Q
AcCd4Rh2 | GGA-PBE | optimized geometry

Calculated values
calculated volume	22.1	Å³/atom
symmetry	P4_2/mnm, No. 136

Cell: 4.1761 8.6163 8.6163 Å, 90.00 90.00 90.00°
Closest atoms and distances in Å follow each position.
Fractional coordinates of all 14 atoms:
Ac 0.5000 0.0000 0.0000  4 Rh 3.08
Ac 0.0000 0.5000 0.5000  4 Rh 3.08
Cd 0.0000 0.0983 0.3424  3 Rh 2.80-2.81, 5 Cd 2.97-3.08
Cd 0.0000 0.9017 0.6576  3 Rh 2.80-2.81, 5 Cd 2.97-3.08
Cd 0.5000 0.1576 0.5983  3 Rh 2.80-2.81, 5 Cd 2.97-3.08
Cd 0.5000 0.8424 0.4017  3 Rh 2.80-2.81, 5 Cd 2.97-3.08
Cd 0.5000 0.4017 0.8424  3 Rh 2.80-2.81, 5 Cd 2.97-3.08
Cd 0.5000 0.5983 0.1576  3 Rh 2.80-2.81, 5 Cd 2.97-3.08
Cd 0.0000 0.3424 0.0983  3 Rh 2.80-2.81, 5 Cd 2.97-3.08
Cd 0.0000 0.6576 0.9017  3 Rh 2.80-2.81, 5 Cd 2.97-3.08
Rh 0.0000 0.1858 0.8142  6 Cd 2.80-2.81, 2 Ac 3.08
Rh 0.0000 0.8142 0.1858  6 Cd 2.80-2.81, 2 Ac 3.08
Rh 0.5000 0.6858 0.6858  6 Cd 2.80-2.81, 2 Ac 3.08
Rh 0.5000 0.3142 0.3142  6 Cd 2.80-2.81, 2 Ac 3.08

=====

Of them, the most stable is #Q and the least stable is #P.